The following is a GGA-PBE calculation of a relaxed structure of Zn3TeCl, from the Alexandria database.

uncorrected formation energy: 337 meV per atom
total magnetic moment: 0.00 μB/f.u.

a b c (Å): 4.9952 4.9952 4.9952
angles (deg): 90.00 90.00 90.00
Last column: nearest neighbours and their distance in Å.
Fractional positions:
Zn 0.0000 0.0000 0.5000  2 Cl 2.50
Zn 0.0000 0.5000 0.0000  2 Cl 2.50
Zn 0.5000 0.0000 0.0000  2 Cl 2.50
Te 0.5000 0.5000 0.5000  12 Zn 3.53
Cl 0.0000 0.0000 0.0000  6 Zn 2.50

---

The following is a GGA-PBE calculation of a relaxed structure of Rb2CrGeOs, from the Alexandria database.

energy of formation from the pure elements: 1.695 eV/atom
total magnetic moment: 6.68 μB/f.u.

a b c (Å): 6.4951 6.4951 4.7964
angles (deg): 90.00 90.00 90.00
Last column: nearest neighbours and their distance in Å.
Fractional positions:
Rb 0.0000 0.5000 0.0000  2 Cr 3.25
Rb 0.5000 0.0000 0.0000  2 Cr 3.25
Cr 0.0000 0.0000 0.0000  2 Ge 2.40
Ge 0.0000 0.0000 0.5000  2 Cr 2.40
Os 0.5000 0.5000 0.5000  8 Rb 4.04

---

The following is a GGA-PBE calculation of a relaxed structure of CrAuCl2, from the Alexandria database.

uncorrected formation energy: 305 meV per atom
total magnetic moment: 4.57 μB/f.u.

a b c (Å): 4.8007 4.8007 4.8007
angles (deg): 60.00 60.00 60.00
Last column: nearest neighbours and their distance in Å.
Fractional positions:
Cr 0.0000 0.0000 0.0000  4 Au 2.94, 4 Cl 2.94
Au 0.7500 0.7500 0.7500  4 Cr 2.94, 4 Cl 2.94
Cl 0.2500 0.2500 0.2500  4 Cr 2.94, 4 Cl 2.94
Cl 0.5000 0.5000 0.5000  4 Au 2.94, 4 Cl 2.94

---

The following is a GGA-PBE calculation of a relaxed structure of KZrIr2O8, from the Alexandria database.

uncorrected formation energy: -1159 meV per atom
total magnetic moment: 0.00 μB/f.u.

a b c (Å): 5.8019 5.8019 7.5625
angles (deg): 90.00 90.00 120.00
Last column: nearest neighbours and their distance in Å.
Fractional positions:
K 0.0000 0.0000 0.0000  12 O 3.01-3.35
Zr 0.0000 0.0000 0.5000  6 O 2.09
Ir 0.3333 0.6667 0.7713  4 O 1.77-1.86
Ir 0.6667 0.3333 0.2287  4 O 1.77-1.86
O 0.1566 0.3308 0.6676  1 Ir 1.86
O 0.1743 0.8434 0.6676  1 Ir 1.86
O 0.3308 0.1743 0.3324  1 Ir 1.86
O 0.3333 0.6667 0.0057  1 Ir 1.77
O 0.6667 0.3333 0.9943  1 Ir 1.77
O 0.6692 0.8257 0.6676  1 Ir 1.86
O 0.8257 0.1566 0.3324  1 Ir 1.86
O 0.8434 0.6692 0.3324  1 Ir 1.86

---

The following is a GGA-PBE calculation of a relaxed structure of LiCaSn2, from the Alexandria database.

energy of formation from the pure elements: -0.429 eV/atom
total magnetic moment: 0.00 μB/f.u.

a b c (Å): 6.1135 6.1135 6.1135
angles (deg): 44.75 44.75 44.75
Last column: nearest neighbours and their distance in Å.
Fractional positions:
Li 0.0000 0.0000 0.0000  6 Sn 2.83
Ca 0.5000 0.5000 0.5000  8 Sn 3.27-3.62
Sn 0.2801 0.2801 0.2801  3 Li 2.83
Sn 0.7199 0.7199 0.7199  3 Li 2.83

---

The following is a GGA-PBE calculation of a relaxed structure of HoTmMgTc, from the Alexandria database.

energy of formation from the pure elements: -0.106 eV/atom
total magnetic moment: 0.00 μB/f.u.

a b c (Å): 3.4516 3.4516 7.9981
angles (deg): 90.00 90.00 90.00
Last column: nearest neighbours and their distance in Å.
Fractional positions:
Ho 0.0000 0.0000 0.0000  4 Tc 2.94, 1 Tm 3.22
Tm 0.0000 0.0000 0.4026  4 Tc 2.91, 1 Ho 3.22
Mg 0.5000 0.5000 0.6983  4 Tm 3.40, 4 Ho 3.43, 4 Mg 3.45
Tc 0.5000 0.5000 0.2041  4 Tm 2.91, 4 Ho 2.94

---

Copy entry 6 word for word.
The following is a GGA-PBE calculation of a relaxed structure of HoTmMgTc, from the Alexandria database.

energy of formation from the pure elements: -0.106 eV/atom
total magnetic moment: 0.00 μB/f.u.

a b c (Å): 3.4516 3.4516 7.9981
angles (deg): 90.00 90.00 90.00
Last column: nearest neighbours and their distance in Å.
Fractional positions:
Ho 0.0000 0.0000 0.0000  4 Tc 2.94, 1 Tm 3.22
Tm 0.0000 0.0000 0.4026  4 Tc 2.91, 1 Ho 3.22
Mg 0.5000 0.5000 0.6983  4 Tm 3.40, 4 Ho 3.43, 4 Mg 3.45
Tc 0.5000 0.5000 0.2041  4 Tm 2.91, 4 Ho 2.94